(a)
# TcAg2Pt

A geometry-optimized TcAg2Pt structure (PBE, Alexandria via LeMat-Bulk).

Calculated values
total magnetization: 0.00 μB/atom
ρ: 12.96 g cm⁻³

Geometry as CIF:
```
data_TcAg2Pt
_chemical_formula_sum 'Tc3 Ag6 Pt3'
_symmetry_space_group_name_H-M 'R 3 m'
_symmetry_Int_Tables_number 160
_symmetry_space_group_name_Hall 'R 3 -2"'
_cell_length_a 2.8205
_cell_length_b 2.8205
_cell_length_c 28.3782
_cell_angle_alpha 90.00
_cell_angle_beta 90.00
_cell_angle_gamma 120.00
loop_
_atom_site_label
_atom_site_type_symbol
_atom_site_fract_x
_atom_site_fract_y
_atom_site_fract_z
Tc1 Tc 0.0000 0.0000 0.0000
Ag1 Ag 0.0000 0.0000 0.5048
Ag2 Ag 0.0000 0.0000 0.7513
Pt1 Pt 0.0000 0.0000 0.2576
```

(b)
# TcAg2Pt

A geometry-optimized TcAg2Pt structure (PBE, Alexandria via LeMat-Bulk).

Calculated values
total magnetization: 0.00 μB/atom
ρ: 12.91 g cm⁻³

Geometry as CIF:
```
data_TcAg2Pt
_chemical_formula_sum 'Tc1 Ag2 Pt1'
_symmetry_space_group_name_H-M 'P 4 m m'
_symmetry_Int_Tables_number 99
_cell_length_a 2.802
_cell_length_b 2.802
_cell_length_c 8.338
_cell_angle_alpha 90.00
_cell_angle_beta 90.00
_cell_angle_gamma 90.00
loop_
_symmetry_equiv_pos_as_xyz
'x,y,z'
'-y,x,z'
'-x,-y,z'
'y,-x,z'
'-x,y,z'
'y,x,z'
'x,-y,z'
'-y,-x,z'
loop_
_atom_site_label
_atom_site_type_symbol
_atom_site_fract_x
_atom_site_fract_y
_atom_site_fract_z
Tc1 Tc 0.000 0.000 0.000
Ag1 Ag 0.000 0.000 0.522
Ag2 Ag 0.500 0.500 0.258
Pt1 Pt 0.500 0.500 0.784
```

Stability, lowest: (a)

(a)
# Tc2AgPt2

A geometry-optimized Tc2AgPt2 structure (PBE, Alexandria via LeMat-Bulk).

Calculated values
total magnetization: 0.00 μB/atom
ρ: 13.89 g cm⁻³

Geometry as CIF:
```
data_Tc2AgPt2
_chemical_formula_sum 'Tc4 Ag2 Pt4'
_symmetry_space_group_name_H-M 'P 4/m b m'
_symmetry_Int_Tables_number 127
_symmetry_space_group_name_Hall '-P 4 2ab'
_cell_length_a 7.803
_cell_length_b 7.803
_cell_length_c 2.725
_cell_angle_alpha 90.00
_cell_angle_beta 90.00
_cell_angle_gamma 90.00
loop_
_atom_site_label
_atom_site_type_symbol
_atom_site_fract_x
_atom_site_fract_y
_atom_site_fract_z
Tc1 Tc 0.112 0.388 0.000
Ag1 Ag 0.000 0.000 0.000
Pt1 Pt 0.180 0.680 0.500
```

(b)
# Tc2AgPt2

A geometry-optimized Tc2AgPt2 structure (PBE, Alexandria via LeMat-Bulk).

Calculated values
total magnetization: 0.00 μB/atom
ρ: 14.00 g cm⁻³

Geometry as CIF:
```
data_Tc2AgPt2
_chemical_formula_sum 'Tc4 Ag2 Pt4'
_symmetry_space_group_name_H-M 'P 4/m b m'
_symmetry_Int_Tables_number 127
_symmetry_space_group_name_Hall '-P 4 2ab'
_cell_length_a 7.813
_cell_length_b 7.813
_cell_length_c 2.698
_cell_angle_alpha 90.00
_cell_angle_beta 90.00
_cell_angle_gamma 90.00
loop_
_atom_site_label
_atom_site_type_symbol
_atom_site_fract_x
_atom_site_fract_y
_atom_site_fract_z
Tc1 Tc 0.175 0.325 0.000
Ag1 Ag 0.000 0.000 0.500
Pt1 Pt 0.122 0.622 0.500
```

Stability, lowest: (b)

(a)
# Ag2TePt2

A geometry-optimized Ag2TePt2 structure (PBE, Alexandria via LeMat-Bulk).

Calculated values
total magnetization: 0.00 μB/atom
ρ: 12.87 g cm⁻³

Geometry as CIF:
```
data_Ag2TePt2
_chemical_formula_sum 'Ag4 Te2 Pt4'
_symmetry_space_group_name_H-M 'P 4/m b m'
_symmetry_Int_Tables_number 127
_symmetry_space_group_name_Hall '-P 4 2ab'
_cell_length_a 7.916
_cell_length_b 7.916
_cell_length_c 3.021
_cell_angle_alpha 90.00
_cell_angle_beta 90.00
_cell_angle_gamma 90.00
loop_
_atom_site_label
_atom_site_type_symbol
_atom_site_fract_x
_atom_site_fract_y
_atom_site_fract_z
Ag1 Ag 0.127 0.373 0.000
Te1 Te 0.000 0.000 0.000
Pt1 Pt 0.170 0.670 0.500
```

(b)
# Ag2TePt2

A geometry-optimized Ag2TePt2 structure (PBE, Alexandria via LeMat-Bulk).

Calculated values
total magnetization: 0.00 μB/atom
ρ: 12.53 g cm⁻³

Geometry as CIF:
```
data_Ag2TePt2
_chemical_formula_sum 'Ag4 Te2 Pt4'
_symmetry_space_group_name_H-M 'P 4/m b m'
_symmetry_Int_Tables_number 127
_symmetry_space_group_name_Hall '-P 4 2ab'
_cell_length_a 6.937
_cell_length_b 6.937
_cell_length_c 4.042
_cell_angle_alpha 90.00
_cell_angle_beta 90.00
_cell_angle_gamma 90.00
loop_
_atom_site_label
_atom_site_type_symbol
_atom_site_fract_x
_atom_site_fract_y
_atom_site_fract_z
Ag1 Ag 0.154 0.346 0.000
Te1 Te 0.000 0.000 0.500
Pt1 Pt 0.142 0.642 0.500
```

Stability, lowest: (a)

(a)
# AgTePt3

A geometry-optimized AgTePt3 structure (PBE, Alexandria via LeMat-Bulk).

Calculated values
total magnetization: 0.00 μB/atom
ρ: 11.25 g cm⁻³

Geometry as CIF:
```
data_AgTePt3
_chemical_formula_sum 'Ag1 Te1 Pt3'
_symmetry_space_group_name_H-M 'P m -3 m'
_symmetry_Int_Tables_number 221
_symmetry_space_group_name_Hall '-P 4 2 3'
_cell_length_a 4.948
_cell_length_b 4.948
_cell_length_c 4.948
_cell_angle_alpha 90.00
_cell_angle_beta 90.00
_cell_angle_gamma 90.00
loop_
_atom_site_label
_atom_site_type_symbol
_atom_site_fract_x
_atom_site_fract_y
_atom_site_fract_z
Ag1 Ag 0.000 0.000 0.000
Te1 Te 0.500 0.500 0.500
Pt1 Pt 0.000 0.500 0.500
```

(b)
# AgTePt3

A geometry-optimized AgTePt3 structure (PBE, Alexandria via LeMat-Bulk).

Calculated values
total magnetization: 0.00 μB/atom
ρ: 11.65 g cm⁻³

Geometry as CIF:
```
data_AgTePt3
_chemical_formula_sum 'Ag1 Te1 Pt3'
_symmetry_space_group_name_H-M 'P m -3 m'
_symmetry_Int_Tables_number 221
_symmetry_space_group_name_Hall '-P 4 2 3'
_cell_length_a 4.890
_cell_length_b 4.890
_cell_length_c 4.890
_cell_angle_alpha 90.00
_cell_angle_beta 90.00
_cell_angle_gamma 90.00
loop_
_atom_site_label
_atom_site_type_symbol
_atom_site_fract_x
_atom_site_fract_y
_atom_site_fract_z
Ag1 Ag 0.000 0.000 0.000
Te1 Te 0.500 0.500 0.500
Pt1 Pt 0.000 0.000 0.500
```

Stability, lowest: (b)

(a)
# TiAg2Pt

A geometry-optimized TiAg2Pt structure (PBE, Alexandria via LeMat-Bulk).

Calculated values
total magnetization: 0.00 μB/atom
ρ: 11.39 g cm⁻³

Geometry as CIF:
```
data_TiAg2Pt
_chemical_formula_sum 'Ti4 Ag8 Pt4'
_symmetry_space_group_name_H-M 'F m -3 m'
_symmetry_Int_Tables_number 225
_symmetry_space_group_name_Hall '-F 4 2 3'
_cell_length_a 6.443
_cell_length_b 6.443
_cell_length_c 6.443
_cell_angle_alpha 90.00
_cell_angle_beta 90.00
_cell_angle_gamma 90.00
loop_
_atom_site_label
_atom_site_type_symbol
_atom_site_fract_x
_atom_site_fract_y
_atom_site_fract_z
Ti1 Ti 0.000 0.000 0.000
Ag1 Ag 0.250 0.250 0.250
Pt1 Pt 0.000 0.000 0.500
```

(b)
# TiAg2Pt

A geometry-optimized TiAg2Pt structure (PBE, Alexandria via LeMat-Bulk).

Calculated values
total magnetization: 0.29 μB/atom
ρ: 10.22 g cm⁻³

Geometry as CIF:
```
data_TiAg2Pt
_chemical_formula_sum 'Ti4 Ag8 Pt4'
_symmetry_space_group_name_H-M 'I -4 2 d'
_symmetry_Int_Tables_number 122
_symmetry_space_group_name_Hall 'I -4 2bw'
_cell_length_a 7.501
_cell_length_b 7.501
_cell_length_c 5.301
_cell_angle_alpha 90.00
_cell_angle_beta 90.00
_cell_angle_gamma 90.00
loop_
_atom_site_label
_atom_site_type_symbol
_atom_site_fract_x
_atom_site_fract_y
_atom_site_fract_z
Ti1 Ti 0.000 0.000 0.000
Ag1 Ag 0.247 0.250 0.625
Pt1 Pt 0.000 0.000 0.500
```

Stability, lowest: (b)

(a)
# TlAgPt

A geometry-optimized TlAgPt structure (PBE, Alexandria via LeMat-Bulk).

Calculated values
total magnetization: 0.00 μB/atom
ρ: 13.28 g cm⁻³

Geometry as CIF:
```
data_TlAgPt
_chemical_formula_sum 'Tl2 Ag2 Pt2'
_symmetry_space_group_name_H-M 'A m m 2'
_symmetry_Int_Tables_number 38
_cell_length_a 3.599
_cell_length_b 2.963
_cell_length_c 11.894
_cell_angle_alpha 90.00
_cell_angle_beta 90.00
_cell_angle_gamma 90.00
loop_
_symmetry_equiv_pos_as_xyz
'x,y,z'
'-x,-y,z'
'-x,y,z'
'x,-y,z'
'x,y+1/2,z+1/2'
'-x,-y+1/2,z+1/2'
'-x,y+1/2,z+1/2'
'x,-y+1/2,z+1/2'
loop_
_atom_site_label
_atom_site_type_symbol
_atom_site_fract_x
_atom_site_fract_y
_atom_site_fract_z
Tl1 Tl 0.000 0.000 0.000
Ag1 Ag 0.000 0.000 0.286
Pt1 Pt 0.500 0.000 0.646
```

(b)
# TlAgPt

A geometry-optimized TlAgPt structure (PBE, Alexandria via LeMat-Bulk).

Calculated values
total magnetization: 0.00 μB/atom
ρ: 12.83 g cm⁻³

Geometry as CIF:
```
data_TlAgPt
_chemical_formula_sum 'Tl2 Ag2 Pt2'
_symmetry_space_group_name_H-M 'P 1 21/m 1'
_symmetry_Int_Tables_number 11
_cell_length_a 5.516
_cell_length_b 4.449
_cell_length_c 5.611
_cell_angle_alpha 90.00
_cell_angle_beta 107.47
_cell_angle_gamma 90.00
loop_
_symmetry_equiv_pos_as_xyz
'x,y,z'
'-x,-y,-z'
'-x,y+1/2,-z'
'x,-y+1/2,z'
loop_
_atom_site_label
_atom_site_type_symbol
_atom_site_fract_x
_atom_site_fract_y
_atom_site_fract_z
Tl1 Tl 0.089 0.250 0.312
Ag1 Ag 0.399 0.750 0.099
Pt1 Pt 0.379 0.750 0.593
```

Stability, lowest: (a)